The following is a DFT calculation (PBE-GGA) of a relaxed structure of LaBe2Al.

Its energy of formation is 0.186 eV/atom. Its space group is Pmm2, No. 25.

extended XYZ file:
```
4
Lattice="2.974 0.000 0.000 0.000 3.099 0.000 0.000 0.000 7.281" Properties=species:S:1:pos:R:3 pbc="T T T"
La 0.000 0.000 3.469
Be 0.000 0.000 0.260
Be 1.487 1.550 1.180
Al 1.487 1.550 6.014
```



The following is a DFT calculation (PBE-GGA) of a relaxed structure of CsRb3I.

Its formation energy from raw total energies is 1 meV per atom. The excess energy over the best structure of this formula in the dataset comes out at 0.519 eV per atom. Its space group is Pm-3m, No. 221.

extended XYZ file:
```
5
Lattice="8.508 0.000 0.000 0.000 8.508 0.000 0.000 0.000 8.508" Properties=species:S:1:pos:R:3 pbc="T T T"
I 4.254 4.254 4.254
Rb 0.000 0.000 4.254
Rb 4.254 0.000 0.000
Rb 0.000 4.254 0.000
Cs 0.000 0.000 0.000
```



The following is a DFT calculation (PBE-GGA) of a relaxed structure of TiZnTe2Br.

Its formation energy from raw total energies is -3 meV per atom. Its space group is P4/mmm, No. 123.

extended XYZ file:
```
5
Lattice="-1.434 4.519 -2.228 -2.875 -2.722 -3.671 -4.196 0.212 3.129" Properties=species:S:1:pos:R:3 pbc="T T T"
Te -2.098 0.106 1.565
Te -0.717 2.260 -1.114
Ti 0.000 0.000 0.000
Br -4.252 1.005 -1.385
Zn -1.437 -1.361 -1.836
```



The following is a DFT calculation (PBE-GGA) of a relaxed structure of CsNaFeCl4.

Its formation energy from raw total energies is -1391 meV per atom. Its space group is P2_1/m, No. 11.

extended XYZ file:
```
14
Lattice="6.750 0.000 -0.099 0.000 7.349 0.000 -2.777 0.000 8.919" Properties=species:S:1:pos:R:3 pbc="T T T"
Cl 5.869 7.283 2.513
Cl 1.890 1.837 7.719
Cl 5.869 3.740 2.513
Cl 2.083 5.511 1.101
Cl 2.393 1.837 3.933
Cl -1.896 0.066 6.307
Cl 1.579 5.511 4.888
Cl -1.896 3.608 6.307
Na 4.219 5.511 4.132
Na -0.247 1.837 4.689
Fe 3.372 1.837 5.978
Fe 0.600 5.511 2.842
Cs 1.587 1.837 0.584
Cs 2.385 5.511 8.237
```



The following is a DFT calculation (PBE-GGA) of a relaxed structure of Nd4UN4.

Its formation energy from raw total energies is -711 meV per atom. Its space group is I-42m, No. 121.

extended XYZ file:
```
9
Lattice="5.792 0.000 0.000 0.000 5.792 0.000 -2.896 -2.896 5.785" Properties=species:S:1:pos:R:3 pbc="T T T"
N 4.624 1.167 1.504
N -1.728 -1.728 4.281
N 1.167 4.624 1.504
N 1.728 1.728 4.281
Nd 2.896 2.896 2.453
Nd 0.000 0.000 3.332
Nd 0.000 2.896 0.000
Nd 2.896 0.000 0.000
U 0.000 0.000 0.000
```



The following is a DFT calculation (PBE-GGA) of a relaxed structure of CaNbF2.

Its formation energy from raw total energies is -1986 meV per atom. The excess energy over the best structure of this formula in the dataset comes out at 0.000 eV per atom. Its space group is R-3m, No. 166.

extended XYZ file:
```
4
Lattice="-4.392 -4.351 2.765 -3.310 -5.907 -0.119 -1.382 -6.038 2.739" Properties=species:S:1:pos:R:3 pbc="T T T"
F -1.058 -1.897 0.627
F -8.027 -14.399 4.758
Nb 0.000 0.000 0.000
Ca -4.542 -8.148 2.692
```



The following is a DFT calculation (PBE-GGA) of a relaxed structure of Sm2TmIn2Hg2.

Its energy of formation is -0.246 eV/atom. Its space group is R-3m, No. 166.

extended XYZ file:
```
7
Lattice="4.952 0.000 0.000 2.476 4.288 0.000 2.476 1.429 8.980" Properties=species:S:1:pos:R:3 pbc="T T T"
Sm 7.428 4.288 3.451
Sm 2.476 1.429 5.529
In 7.428 4.288 7.307
In 2.476 1.429 1.673
Tm 0.000 0.000 0.000
Hg 4.952 2.859 2.159
Hg 4.952 2.859 6.821
```



The following is a DFT calculation (PBE-GGA) of a relaxed structure of Tl2NiPb.

Its energy of formation is 0.419 eV/atom. The excess energy over the best structure of this formula in the dataset comes out at 0.263 eV per atom. Its space group is F-43m, No. 216.

extended XYZ file:
```
4
Lattice="-1.220 -0.728 5.020 2.393 -3.731 2.751 3.414 1.291 3.728" Properties=species:S:1:pos:R:3 pbc="T T T"
Pb 3.440 -2.377 8.624
Tl 1.147 -0.792 2.875
Tl 0.000 0.000 0.000
Ni 2.293 -1.584 5.749
```



The following is a DFT calculation (PBE-GGA) of a relaxed structure of Ce2NdGe.

Its energy of formation is -0.330 eV/atom. The excess energy over the best structure of this formula in the dataset comes out at 0.131 eV per atom. Its space group is P4/mmm, No. 123.

extended XYZ file:
```
4
Lattice="3.971 0.000 0.000 0.000 3.971 0.000 0.000 0.000 7.091" Properties=species:S:1:pos:R:3 pbc="T T T"
Nd 1.986 1.986 3.545
Ge 1.986 1.986 0.000
Ce 0.000 0.000 5.740
Ce 0.000 0.000 1.350
```



The following is a DFT calculation (PBE-GGA) of a relaxed structure of MnOsAu2.

Its energy of formation is 0.413 eV/atom. The excess energy over the best structure of this formula in the dataset comes out at 0.191 eV per atom. Its space group is P4/mmm, No. 123.

extended XYZ file:
```
4
Lattice="-0.095 -2.944 2.667 1.886 -2.381 -2.561 3.566 1.228 1.484" Properties=species:S:1:pos:R:3 pbc="T T T"
Au 0.000 0.000 0.000
Au 0.895 -2.662 0.053
Os 2.726 -0.576 -0.539
Mn 1.735 -0.858 2.075
```



The following is a DFT calculation (PBE-GGA) of a relaxed structure of CrSi2W.

Its formation energy from raw total energies is 23 meV per atom. The excess energy over the best structure of this formula in the dataset comes out at 0.285 eV per atom. Its space group is P4/mmm, No. 123.

extended XYZ file:
```
4
Lattice="-0.892 -1.961 1.956 1.656 -2.025 -1.275 4.691 1.525 3.668" Properties=species:S:1:pos:R:3 pbc="T T T"
Si 2.502 0.813 1.956
Si 4.534 1.474 3.545
W 1.555 -1.612 1.257
Cr 3.900 -0.849 3.091
```



The following is a DFT calculation (PBE-GGA) of a relaxed structure of Ti3H3Pd.

The excess energy over the best structure of this formula in the dataset comes out at 0.000 eV per atom. Its space group is Pm-3n, No. 223.

extended XYZ file:
```
14
Lattice="-4.507 0.124 2.684 2.140 -3.002 3.733 1.624 4.302 2.528" Properties=species:S:1:pos:R:3 pbc="T T T"
Ti -2.310 -1.408 3.880
Ti -1.848 1.137 1.974
Ti 2.417 -0.100 4.064
Ti -0.056 -1.470 2.538
Ti 1.347 1.400 2.197
Ti -1.036 3.288 3.238
H -2.568 2.244 3.277
H -0.315 2.182 1.935
H -0.648 -2.189 4.142
H -1.718 -0.688 2.275
H 2.288 1.725 3.763
H 1.476 -0.425 2.499
Pd 0.000 0.000 0.000
Pd -0.371 0.712 4.472
```



no.,raw total energy (eV per atom),magnetization (μB/cell)
1,-3.84,0.0
2,-1.06,0.0
3,-3.43,0.0
4,-3.97,8.0
5,-7.78,2.7
6,-5.94,0.0
7,-3.10,0.0
8,-3.14,0.0
9,-5.64,1.9
10,-6.33,3.8
11,-8.33,0.0
12,-6.01,0.0